Entry 1:
VASP calculation (PBE) on crystalline TcHg3O at its relaxed geometry.

Cell and atoms, written as extended XYZ:
```
5
Lattice="-4.6298 0.4104 0.1778 -0.3476 -4.4650 1.2562 0.2815 1.2370 4.4750" Properties=species:S:1:pos:R:3 pbc="T T T"
O 0.0000 0.0000 0.0000
Hg 0.1408 0.6185 2.2375
Hg -2.3149 0.2052 0.0889
Hg -0.1738 -2.2325 0.6281
Tc -2.3479 -1.4088 2.9545
```

Properties
Total magnetization   2.333 Bohr magnetons per cell
D(E_F)   5.51 states/eV per cell
Symmetry   Pm-3m
Offset from the most stable computed form   0.000 eV per atom
E_form (uncorrected)   91 kJ/mol of atoms

=====

Entry 2:
VASP calculation (PBE) on crystalline TcHg2O6 at its relaxed geometry.

Cell and atoms, written as extended XYZ:
```
9
Lattice="-2.8085 -2.8482 2.9615 4.2612 -5.4227 -1.1743 -0.8562 2.5619 5.9019" Properties=species:S:1:pos:R:3 pbc="T T T"
O -0.0533 -3.8227 7.0667
O -2.6167 -0.6686 7.4566
O 1.8546 -3.4855 3.8367
O 0.3782 -1.4327 1.0138
O -1.6365 -1.7420 3.9567
O 2.7749 -4.5907 0.0368
Hg 0.0962 -2.0786 4.9808
Hg 1.5160 -4.9230 2.4284
Tc 0.0726 -0.0924 -0.0200
```

Properties
Total magnetization   0.942 Bohr magnetons per cell
Symmetry   C2
E_form (uncorrected)   -55 kJ/mol of atoms